Density functional theory data (PBE+U) for a relaxed MnO2 crystal.

The size of the total moment comes out at 6.000 Bohr magnetons per cell. As for the total energy: -41.775 eV per cell.

It has space group Pmmn (No. 59, origin choice 2), with a = 2.912 Å, b = 3.867 Å, c = 6.178 Å, α = 90.00°, β = 90.00° and γ = 90.00°. The inequivalent atoms are Mn at (0.250, 0.250, 0.157), O at (0.250, 0.750, 0.077) and O at (0.250, 0.750, 0.662).